Material: InReO3
Method: DFT, PBE
State: relaxed

abc: 5.3939 5.3939 16.1631
angles: 90.00 90.00 120.00
Space group R-3 (No. 148, hexagonal axes)
Asymmetric unit:
In (0.0000, 0.0000, 0.1332) (multiplicity 6)
Re (0.0000, 0.0000, 0.3391) (multiplicity 6)
O (0.0077, 0.6283, 0.9311) (multiplicity 18)

***

Material: InReO3
Method: DFT, PBE
State: relaxed

abc: 5.5924 5.5924 13.6917
angles: 90.00 90.00 120.00
Space group R-3c (No. 167, hexagonal axes)
Asymmetric unit:
In (0.0000, 0.0000, 0.2500) (multiplicity 6)
Re (0.0000, 0.0000, 0.0000) (multiplicity 6)
O (0.0000, 0.4936, 0.2500) (multiplicity 18)

***

| no. | calculated total energy (hartree per atom) |
| --- | --- |
| 1 | -0.259 |
| 2 | -0.261 |